P) Material: Mg3Au5
Method: DFT, PBE
State: relaxed

a = 7.885 Å, b = 7.885 Å, c = 7.576 Å
α = 94.78°, β = 94.78°, γ = 139.34°
Sites, in units of the cell vectors:
Mg: 0.185 0.357 0.520
Mg: 0.176 0.231 0.936
Mg: 0.245 0.745 0.222
Mg: 0.810 0.310 0.846
Mg: 0.731 0.676 0.936
Mg: 0.857 0.685 0.520
Au: 0.199 0.893 0.914
Au: 0.151 0.048 0.258
Au: 0.268 0.768 0.583
Au: 0.393 0.699 0.914
Au: 0.410 0.239 0.652
Au: 0.548 0.651 0.258
Au: 0.681 0.384 0.161
Au: 0.730 0.230 0.473
Au: 0.739 0.910 0.652
Au: 0.884 0.181 0.161

Q) Material: Mg3Au5
Method: DFT, PBE
State: relaxed

a = 5.689 Å, b = 5.689 Å, c = 4.482 Å
α = 90.00°, β = 90.00°, γ = 98.36°
Sites, in units of the cell vectors:
Au: 0.000 0.000 0.000
Au: 0.000 0.500 0.000
Au: 0.500 0.000 0.000
Au: 0.290 0.290 0.500
Au: 0.710 0.710 0.500
Mg: 0.500 0.500 0.000
Mg: 0.783 0.217 0.500
Mg: 0.217 0.783 0.500

R) Material: Mg3Au5
Method: DFT, PBE
State: relaxed

a = 7.980 Å, b = 7.980 Å, c = 5.365 Å
α = 90.00°, β = 90.00°, γ = 120.02°
Sites, in units of the cell vectors:
Mg: 0.000 0.395 0.750
Mg: 0.000 0.605 0.250
Mg: 0.395 0.000 0.750
Mg: 0.395 0.395 0.250
Mg: 0.605 0.000 0.250
Mg: 0.605 0.605 0.750
Au: 0.000 0.225 0.250
Au: 0.000 0.775 0.750
Au: 0.225 0.000 0.250
Au: 0.225 0.225 0.750
Au: 0.333 0.667 0.000
Au: 0.333 0.667 0.500
Au: 0.667 0.333 0.000
Au: 0.667 0.333 0.500
Au: 0.775 0.000 0.750
Au: 0.775 0.775 0.250

So which one wins? Going from most stable to least: Q), P), R).

P) Material: MgMnAu4
Method: DFT, PBE
State: relaxed

a = 5.485 Å, b = 5.485 Å, c = 5.485 Å
α = 60.00°, β = 60.00°, γ = 60.00°
Each line ends with the local moment (μB).
Sites, in units of the cell vectors:
Mg: 0.750 0.750 0.750  -0.02
Mn: 0.000 0.000 0.000  4.17
Au: 0.875 0.375 0.375  -0.01
Au: 0.375 0.375 0.875  -0.01
Au: 0.375 0.875 0.375  -0.01
Au: 0.375 0.375 0.375  -0.01

Q) Material: MgMnAu4
Method: DFT, PBE
State: relaxed

a = 4.884 Å, b = 4.998 Å, c = 5.675 Å
α = 87.86°, β = 64.51°, γ = 60.76°
Each line ends with the local moment (μB).
Sites, in units of the cell vectors:
Mg: 0.500 0.500 0.500  -0.01
Mn: 0.000 0.000 0.000  3.91
Au: 0.665 0.668 0.002  0.02
Au: 0.335 0.332 0.998  0.02
Au: 0.161 0.165 0.514  0.01
Au: 0.839 0.835 0.486  0.01

R) Material: MgMnAu4
Method: DFT, PBE
State: relaxed

a = 3.433 Å, b = 3.433 Å, c = 8.937 Å
α = 90.00°, β = 90.00°, γ = 90.00°
Each line ends with the local moment (μB).
Sites, in units of the cell vectors:
Mg: 0.000 0.000 0.000  0.00
Mn: 0.500 0.500 0.500  3.95
Au: 0.500 0.500 0.837  0.00
Au: 0.500 0.500 0.163  0.00
Au: 0.000 0.000 0.658  0.04
Au: 0.000 0.000 0.342  0.04

So which one wins? Going from most stable to least: R), Q), P).